# 1
GGA-PBE KRuNF2, relaxed; relative energy among the computed polymorphs = 1922 meV per atom
1.0
-2.297 2.467 -3.266
1.546 -2.944 -3.312
-3.922 -2.791 0.650
Ru K N F
1 1 1 2
direct
0.500 0.500 0.500
0.000 0.000 0.000
0.000 0.000 0.500
0.000 0.500 0.000
0.500 0.000 0.000


# 2
GGA-PBE KRuNF2, relaxed; relative energy among the computed polymorphs = 0 meV per atom
1.0
4.397 0.000 0.000
0.000 4.397 0.000
0.000 0.000 3.725
Ru K N F
1 1 1 2
direct
0.000 0.000 0.000
0.500 0.500 0.500
0.000 0.000 0.500
0.000 0.500 0.000
0.500 0.000 0.000


# 3
GGA-PBE KS2NF, relaxed; relative energy among the computed polymorphs = 767 meV per atom
1.0
-4.201 -2.448 2.717
-1.534 -2.578 -4.693
3.238 -4.181 1.239
K N S F
1 1 2 1
direct
0.000 0.000 0.000
0.000 0.000 0.500
0.000 0.500 0.000
0.500 0.000 0.000
0.500 0.500 0.500


Q: Among the records above, which one has the highest relative energy among the computed polymorphs?
A: number 1


Q: Which of these has the highest relative energy among the computed polymorphs?
A: number 1


Q: Number 2 is which compound?
A: KRuNF2


Q: What is the formula in the second record?
A: KRuNF2